VASP calculation (PBE+U) on MgMoO2F after structural relaxation.

The structure belongs to space group P4/mmm (No. 123); the cell edges are 4.123, 4.123 and 4.120 Å and the angles 90.00°, 90.00° and 90.00°. Symmetry generates all atoms from Mg at (0.000, 0.000, 0.000), Mo at (0.500, 0.500, 0.500), O at (0.000, 0.500, 0.500) and F at (0.500, 0.500, 0.000).

For the size of the total moment, the calculation gives 2.73 μB/f.u. The calculation puts the uncorrected energy at -5.657 eV per atom.